No. 1
# Ba3Ag2O4 | the Alexandria database | PBE | relaxed
# E_form (uncorrected) = -1.550 eV per atom
# crystal system = orthorhombic
data_Ba3Ag2O4
_space_group_name_H-M_alt 'I m m m'
_space_group_IT_number 71
_space_group_name_Hall '-I 2 2'
_cell_length_a 4.047
_cell_length_b 7.292
_cell_length_c 13.602
_cell_angle_alpha 90.00
_cell_angle_beta 90.00
_cell_angle_gamma 90.00
loop_
_atom_site_label
_atom_site_type_symbol
_atom_site_fract_x
_atom_site_fract_y
_atom_site_fract_z
_atom_site_occupancy
Ba1 Ba 0.000 0.000 0.000 1
Ba2 Ba 0.000 0.500 0.211 1
Ag1 Ag 0.000 0.185 0.500 1
O1 O 0.000 0.250 0.353 1

***

No. 2
# Ba2AgO | the Alexandria database | PBE | relaxed
# E_form (uncorrected) = -1.297 eV per atom
# crystal system = monoclinic
data_Ba2AgO
_space_group_name_H-M_alt 'P 1 21/c 1'
_space_group_IT_number 14
_space_group_name_Hall '-P 2ybc'
_cell_length_a 9.747
_cell_length_b 7.156
_cell_length_c 7.425
_cell_angle_alpha 90.00
_cell_angle_beta 100.81
_cell_angle_gamma 90.00
loop_
_atom_site_label
_atom_site_type_symbol
_atom_site_fract_x
_atom_site_fract_y
_atom_site_fract_z
_atom_site_occupancy
Ba1 Ba 0.052 0.248 0.023 1
Ba2 Ba 0.337 0.595 0.320 1
Ag1 Ag 0.377 0.089 0.393 1
O1 O 0.078 0.537 0.263 1

***

No. 3
# Ba3AgO4 | the Alexandria database | PBE | relaxed
# E_form (uncorrected) = -1.789 eV per atom
# crystal system = tetragonal
data_Ba3AgO4
_space_group_name_H-M_alt 'P 4/m m m'
_space_group_IT_number 123
_space_group_name_Hall '-P 4 2'
_cell_length_a 3.933
_cell_length_b 3.933
_cell_length_c 10.530
_cell_angle_alpha 90.00
_cell_angle_beta 90.00
_cell_angle_gamma 90.00
loop_
_atom_site_label
_atom_site_type_symbol
_atom_site_fract_x
_atom_site_fract_y
_atom_site_fract_z
_atom_site_occupancy
Ba1 Ba 0.000 0.000 0.000 1
Ba2 Ba 0.500 0.500 0.270 1
Ag1 Ag 0.000 0.000 0.500 1
O1 O 0.000 0.000 0.270 1
O2 O 0.500 0.500 0.000 1
O3 O 0.500 0.500 0.500 1

***

No. 4
# Ba6AgO2 | the Alexandria database | PBE | relaxed
# E_form (uncorrected) = -1.124 eV per atom
# crystal system = monoclinic
data_Ba6AgO2
_space_group_name_H-M_alt 'C 1 2/c 1'
_space_group_IT_number 15
_space_group_name_Hall '-C 2yc'
_cell_length_a 15.447
_cell_length_b 14.189
_cell_length_c 7.838
_cell_angle_alpha 90.00
_cell_angle_beta 102.48
_cell_angle_gamma 90.00
loop_
_atom_site_label
_atom_site_type_symbol
_atom_site_fract_x
_atom_site_fract_y
_atom_site_fract_z
_atom_site_occupancy
Ba1 Ba 0.127 0.224 0.132 1
Ba2 Ba 0.134 0.414 0.651 1
Ba3 Ba 0.148 0.063 0.589 1
Ag1 Ag 0.000 0.403 0.250 1
O1 O 0.198 0.079 0.293 1

***

No. 5
# BaAg3O | the Alexandria database | PBE | relaxed
# ΔE to the lowest computed polymorph = 0 meV per atom
# E_form (uncorrected) = -0.029 eV per atom
# crystal system = cubic
data_BaAg3O
_space_group_name_H-M_alt 'P m -3 m'
_space_group_IT_number 221
_space_group_name_Hall '-P 4 2 3'
_cell_length_a 4.833
_cell_length_b 4.833
_cell_length_c 4.833
_cell_angle_alpha 90.00
_cell_angle_beta 90.00
_cell_angle_gamma 90.00
loop_
_atom_site_label
_atom_site_type_symbol
_atom_site_fract_x
_atom_site_fract_y
_atom_site_fract_z
_atom_site_occupancy
Ba1 Ba 0.000 0.000 0.000 1
Ag1 Ag 0.000 0.500 0.500 1
O1 O 0.500 0.500 0.500 1

***

No. 6
# Ba3Ag5O12 | the Alexandria database | PBE | relaxed
# E_form (uncorrected) = -0.588 eV per atom
# crystal system = cubic
data_Ba3Ag5O12
_space_group_name_H-M_alt 'I a -3 d'
_space_group_IT_number 230
_space_group_name_Hall '-I 4bd 2c 3'
_cell_length_a 13.840
_cell_length_b 13.840
_cell_length_c 13.840
_cell_angle_alpha 90.00
_cell_angle_beta 90.00
_cell_angle_gamma 90.00
loop_
_atom_site_label
_atom_site_type_symbol
_atom_site_fract_x
_atom_site_fract_y
_atom_site_fract_z
_atom_site_occupancy
Ba1 Ba 0.000 0.250 0.125 1
Ag1 Ag 0.000 0.000 0.000 1
Ag2 Ag 0.000 0.250 0.375 1
O1 O 0.028 0.048 0.640 1